# Sr4GaPd4 (PBE, optimized geometry)
data_Sr4GaPd4
_chemical_formula_sum 'Sr8 Ga2 Pd8'
_cell_length_a 9.007
_cell_length_b 9.007
_cell_length_c 6.147
_cell_angle_alpha 90.00
_cell_angle_beta 90.00
_cell_angle_gamma 90.00
_space_group_name_H-M_alt 'P 1'
_space_group_IT_number 1
_space_group_name_Hall 'P 1'
loop_
_atom_site_label
_atom_site_fract_x
_atom_site_fract_y
_atom_site_fract_z
Sr1 0.035 0.687 0.110
Sr2 0.187 0.965 0.610
Sr3 0.313 0.535 0.610
Sr4 0.465 0.813 0.110
Sr5 0.535 0.187 0.890
Sr6 0.687 0.465 0.390
Sr7 0.813 0.035 0.390
Sr8 0.965 0.313 0.890
Ga1 0.250 0.250 0.250
Ga2 0.750 0.750 0.750
Pd1 0.024 0.368 0.396
Pd2 0.132 0.024 0.104
Pd3 0.368 0.476 0.104
Pd4 0.476 0.132 0.396
Pd5 0.524 0.868 0.604
Pd6 0.632 0.524 0.896
Pd7 0.868 0.976 0.896
Pd8 0.976 0.632 0.604
# DFT formation energy, kJ per mole of atoms: -55.5
# DOS(E_F), states/eV per cell: 12.10

# SrGa4Pd6 (PBE, optimized geometry)
data_SrGa4Pd6
_chemical_formula_sum 'Sr1 Ga4 Pd6'
_cell_length_a 7.403
_cell_length_b 7.403
_cell_length_c 3.979
_cell_angle_alpha 90.00
_cell_angle_beta 90.00
_cell_angle_gamma 120.00
_space_group_name_H-M_alt 'P 1'
_space_group_IT_number 1
_space_group_name_Hall 'P 1'
loop_
_atom_site_label
_atom_site_fract_x
_atom_site_fract_y
_atom_site_fract_z
Sr1 0.000 0.000 0.000
Ga1 0.333 0.667 0.000
Ga2 0.403 0.202 0.500
Ga3 0.798 0.202 0.500
Ga4 0.798 0.597 0.500
Pd1 0.201 0.403 0.500
Pd2 0.201 0.799 0.500
Pd3 0.533 0.067 0.000
Pd4 0.533 0.467 0.000
Pd5 0.597 0.799 0.500
Pd6 0.933 0.467 0.000
# DFT formation energy, kJ per mole of atoms: -69.6
# DOS(E_F), states/eV per cell: 3.40

# Sr2Ga4Pd3 (PBE, optimized geometry)
data_Sr2Ga4Pd3
_chemical_formula_sum 'Sr2 Ga4 Pd3'
_cell_length_a 8.296
_cell_length_b 7.197
_cell_length_c 5.766
_cell_angle_alpha 78.73
_cell_angle_beta 58.30
_cell_angle_gamma 42.97
_space_group_name_H-M_alt 'P 1'
_space_group_IT_number 1
_space_group_name_Hall 'P 1'
loop_
_atom_site_label
_atom_site_fract_x
_atom_site_fract_y
_atom_site_fract_z
Sr1 0.133 0.133 0.867
Sr2 0.867 0.867 0.133
Ga1 0.165 0.522 0.478
Ga2 0.478 0.835 0.165
Ga3 0.522 0.165 0.835
Ga4 0.835 0.478 0.522
Pd1 0.000 0.000 0.500
Pd2 0.500 0.500 0.000
Pd3 0.500 0.500 0.500
# DFT formation energy, kJ per mole of atoms: -55.4
# DOS(E_F), states/eV per cell: 4.05

# SrGaPd4 (PBE, optimized geometry)
data_SrGaPd4
_chemical_formula_sum 'Sr1 Ga1 Pd4'
_cell_length_a 5.430
_cell_length_b 5.430
_cell_length_c 5.430
_cell_angle_alpha 60.00
_cell_angle_beta 60.00
_cell_angle_gamma 60.00
_space_group_name_H-M_alt 'P 1'
_space_group_IT_number 1
_space_group_name_Hall 'P 1'
loop_
_atom_site_label
_atom_site_fract_x
_atom_site_fract_y
_atom_site_fract_z
Sr1 0.000 0.000 0.000
Ga1 0.750 0.750 0.750
Pd1 0.376 0.376 0.376
Pd2 0.376 0.376 0.873
Pd3 0.376 0.873 0.376
Pd4 0.873 0.376 0.376
# DFT formation energy, kJ per mole of atoms: -41.4
# DOS(E_F), states/eV per cell: 4.88

# SrGa9Pd3 (PBE, optimized geometry)
data_SrGa9Pd3
_chemical_formula_sum 'Sr1 Ga9 Pd3'
_cell_length_a 7.014
_cell_length_b 7.014
_cell_length_c 6.979
_cell_angle_alpha 98.34
_cell_angle_beta 98.34
_cell_angle_gamma 133.58
_space_group_name_H-M_alt 'P 1'
_space_group_IT_number 1
_space_group_name_Hall 'P 1'
loop_
_atom_site_label
_atom_site_fract_x
_atom_site_fract_y
_atom_site_fract_z
Sr1 0.000 0.000 0.000
Ga1 0.000 0.000 0.500
Ga2 0.002 0.642 0.653
Ga3 0.289 0.508 0.787
Ga4 0.358 0.998 0.347
Ga5 0.492 0.711 0.213
Ga6 0.508 0.289 0.787
Ga7 0.642 0.002 0.653
Ga8 0.711 0.492 0.213
Ga9 0.998 0.358 0.347
Pd1 0.000 0.500 0.000
Pd2 0.500 0.000 0.000
Pd3 0.500 0.500 0.500
# DFT formation energy, kJ per mole of atoms: -39.5
# DOS(E_F), states/eV per cell: 4.99

# Sr3Ga5Pd6 (PBE, optimized geometry)
data_Sr3Ga5Pd6
_chemical_formula_sum 'Sr6 Ga10 Pd12'
_cell_length_a 4.259
_cell_length_b 13.258
_cell_length_c 10.325
_cell_angle_alpha 90.00
_cell_angle_beta 90.00
_cell_angle_gamma 90.00
_space_group_name_H-M_alt 'P 1'
_space_group_IT_number 1
_space_group_name_Hall 'P 1'
loop_
_atom_site_label
_atom_site_fract_x
_atom_site_fract_y
_atom_site_fract_z
Sr1 0.250 0.093 0.248
Sr2 0.250 0.407 0.248
Sr3 0.250 0.750 0.246
Sr4 0.750 0.250 0.754
Sr5 0.750 0.593 0.752
Sr6 0.750 0.907 0.752
Ga1 0.250 0.077 0.646
Ga2 0.250 0.423 0.646
Ga3 0.250 0.627 0.989
Ga4 0.250 0.750 0.604
Ga5 0.250 0.873 0.989
Ga6 0.750 0.127 0.011
Ga7 0.750 0.250 0.396
Ga8 0.750 0.373 0.011
Ga9 0.750 0.577 0.354
Ga10 0.750 0.923 0.354
Pd1 0.250 0.053 0.899
Pd2 0.250 0.250 0.004
Pd3 0.250 0.250 0.523
Pd4 0.250 0.447 0.899
Pd5 0.250 0.579 0.493
Pd6 0.250 0.921 0.493
Pd7 0.750 0.079 0.507
Pd8 0.750 0.421 0.507
Pd9 0.750 0.553 0.101
Pd10 0.750 0.750 0.477
Pd11 0.750 0.750 0.996
Pd12 0.750 0.947 0.101
# DFT formation energy, kJ per mole of atoms: -65.3
# DOS(E_F), states/eV per cell: 16.38

# Sr2Ga2Pd (PBE, optimized geometry)
data_Sr2Ga2Pd
_chemical_formula_sum 'Sr4 Ga4 Pd2'
_cell_length_a 6.227
_cell_length_b 6.227
_cell_length_c 7.357
_cell_angle_alpha 90.00
_cell_angle_beta 90.00
_cell_angle_gamma 90.00
_space_group_name_H-M_alt 'P 1'
_space_group_IT_number 1
_space_group_name_Hall 'P 1'
loop_
_atom_site_label
_atom_site_fract_x
_atom_site_fract_y
_atom_site_fract_z
Sr1 0.000 0.500 0.250
Sr2 0.000 0.500 0.750
Sr3 0.500 0.000 0.250
Sr4 0.500 0.000 0.750
Ga1 0.000 0.000 0.159
Ga2 0.000 0.000 0.841
Ga3 0.500 0.500 0.341
Ga4 0.500 0.500 0.659
Pd1 0.000 0.000 0.500
Pd2 0.500 0.500 0.000
# DFT formation energy, kJ per mole of atoms: -30.5
# DOS(E_F), states/eV per cell: 2.51

# SrGaPd3 (PBE, optimized geometry)
data_SrGaPd3
_chemical_formula_sum 'Sr1 Ga1 Pd3'
_cell_length_a 5.205
_cell_length_b 5.205
_cell_length_c 5.205
_cell_angle_alpha 90.00
_cell_angle_beta 90.00
_cell_angle_gamma 90.00
_space_group_name_H-M_alt 'P 1'
_space_group_IT_number 1
_space_group_name_Hall 'P 1'
loop_
_atom_site_label
_atom_site_fract_x
_atom_site_fract_y
_atom_site_fract_z
Sr1 0.000 0.000 0.000
Ga1 0.500 0.500 0.500
Pd1 0.000 0.000 0.500
Pd2 0.000 0.500 0.000
Pd3 0.500 0.000 0.000
# DFT formation energy, kJ per mole of atoms: 84.1
# DOS(E_F), states/eV per cell: 2.81